(1)
## Mn3Cu2N (PBE)

Data for Mn3Cu2N after structural relaxation.

a b c (Å): 6.396 6.396 6.396
angles (deg): 90.00 90.00 90.00
Atoms (fractional coordinates):
Mn1 0.045 0.125 0.795
Mn2 0.125 0.795 0.045
Mn3 0.205 0.545 0.375
Mn4 0.295 0.455 0.875
Mn5 0.375 0.205 0.545
Mn6 0.455 0.875 0.295
Mn7 0.545 0.375 0.205
Mn8 0.625 0.705 0.955
Mn9 0.705 0.955 0.625
Mn10 0.795 0.045 0.125
Mn11 0.875 0.295 0.455
Mn12 0.955 0.625 0.705
Cu1 0.068 0.932 0.432
Cu2 0.182 0.182 0.182
Cu3 0.318 0.818 0.682
Cu4 0.432 0.068 0.932
Cu5 0.568 0.568 0.568
Cu6 0.682 0.318 0.818
Cu7 0.818 0.682 0.318
Cu8 0.932 0.432 0.068
N1 0.125 0.375 0.625
N2 0.375 0.625 0.125
N3 0.625 0.125 0.375
N4 0.875 0.875 0.875

## Properties
E_form (uncorrected) in meV per atom: -76
Space-group type: P4_132 (213)
Volume in A^3/atom: 10.9

(2)
## MnCu3N (PBE)

Data for MnCu3N after structural relaxation.

a b c (Å): 3.916 3.916 3.916
angles (deg): 90.00 90.00 90.00
Atoms (fractional coordinates):
Mn1 0.000 0.000 0.000
Cu1 0.000 0.500 0.500
Cu2 0.500 0.000 0.500
Cu3 0.500 0.500 0.000
N1 0.500 0.500 0.500

## Properties
E_form (uncorrected) in meV per atom: 460
Space-group type: Pm-3m (221)
Volume in A^3/atom: 12.0

(3)
## Mn3CuN (PBE)

Data for Mn3CuN after structural relaxation.

a b c (Å): 3.827 3.827 3.827
angles (deg): 90.00 90.00 90.00
Atoms (fractional coordinates):
Mn1 0.000 0.000 0.500
Mn2 0.000 0.500 0.000
Mn3 0.500 0.000 0.000
Cu1 0.500 0.500 0.500
N1 0.000 0.000 0.000

## Properties
E_form (uncorrected) in meV per atom: -99
Space-group type: Pm-3m (221)
Volume in A^3/atom: 11.2

(4)
## Mn2CuN2 (PBE)

Data for Mn2CuN2 after structural relaxation.

a b c (Å): 2.855 2.855 12.100
angles (deg): 90.00 90.00 90.00
Atoms (fractional coordinates):
Mn1 0.000 0.000 0.163
Mn2 0.000 0.000 0.837
Mn3 0.500 0.500 0.337
Mn4 0.500 0.500 0.663
Cu1 0.000 0.000 0.500
Cu2 0.500 0.500 0.000
N1 0.000 0.000 0.338
N2 0.000 0.000 0.662
N3 0.500 0.500 0.162
N4 0.500 0.500 0.838

## Properties
E_form (uncorrected) in meV per atom: -85
Space-group type: I4/mmm (139)
Volume in A^3/atom: 9.9

(5)
## Mn10CuN8 (PBE)

Data for Mn10CuN8 after structural relaxation.

a b c (Å): 7.644 7.644 6.548
angles (deg): 105.97 105.97 30.68
Atoms (fractional coordinates):
Mn1 0.040 0.040 0.231
Mn2 0.151 0.151 0.715
Mn3 0.212 0.212 0.174
Mn4 0.324 0.324 0.568
Mn5 0.404 0.404 0.038
Mn6 0.596 0.596 0.962
Mn7 0.676 0.676 0.432
Mn8 0.788 0.788 0.826
Mn9 0.849 0.849 0.285
Mn10 0.960 0.960 0.769
Cu1 0.500 0.500 0.500
N1 0.096 0.096 0.954
N2 0.176 0.176 0.431
N3 0.345 0.345 0.274
N4 0.454 0.454 0.771
N5 0.546 0.546 0.229
N6 0.655 0.655 0.726
N7 0.824 0.824 0.569
N8 0.904 0.904 0.046

## Properties
E_form (uncorrected) in meV per atom: -190
Space-group type: C2/m (12)
Volume in A^3/atom: 9.8

(6)
## MnNb2CuN (PBE)

Data for MnNb2CuN after structural relaxation.

a b c (Å): 4.271 4.271 3.739
angles (deg): 90.00 90.00 90.00
Atoms (fractional coordinates):
Mn1 0.000 0.000 0.000
Nb1 0.000 0.500 0.500
Nb2 0.500 0.000 0.500
Cu1 0.500 0.500 0.000
N1 0.000 0.000 0.500

## Properties
E_form (uncorrected) in meV per atom: -312
Space-group type: P4/mmm (123)
Volume in A^3/atom: 13.6

(7)
## MnCuNiN2 (PBE)

Data for MnCuNiN2 after structural relaxation.

a b c (Å): 3.551 3.551 4.658
angles (deg): 90.00 90.00 90.00
Atoms (fractional coordinates):
Mn1 0.000 0.000 0.000
Cu1 0.500 0.500 0.500
Ni1 0.000 0.000 0.500
N1 0.000 0.500 0.000
N2 0.500 0.000 0.000

## Properties
E_form (uncorrected) in meV per atom: 944
Space-group type: P4/mmm (123)
Volume in A^3/atom: 11.7

(8)
## MnCuNi2N (PBE)

Data for MnCuNi2N after structural relaxation.

a b c (Å): 3.771 3.771 3.833
angles (deg): 90.00 90.00 90.00
Atoms (fractional coordinates):
Mn1 0.000 0.000 0.000
Cu1 0.500 0.500 0.000
Ni1 0.000 0.500 0.500
Ni2 0.500 0.000 0.500
N1 0.000 0.000 0.500

## Properties
E_form (uncorrected) in meV per atom: -81
Space-group type: P4/mmm (123)
Volume in A^3/atom: 10.9